Record 1
Compound: CsZrAl3
Source: the Alexandria database
Functional: PBE
Structure: relaxed

Magnetic moment: 1.83 Bohr magnetons per cell
Calculated volume: 33.8 Å³/atom
E_form: 0.60 eV per atom

The structure in CIF format:
```
data_CsZrAl3
_space_group_name_H-M_alt 'P 1'
_space_group_IT_number 1
_cell_length_a 5.5308
_cell_length_b 5.5308
_cell_length_c 5.5308
_cell_angle_alpha 90.00
_cell_angle_beta 90.00
_cell_angle_gamma 90.00
loop_
_space_group_symop_operation_xyz
'x,y,z'
loop_
_atom_site_label
_atom_site_type_symbol
_atom_site_fract_x
_atom_site_fract_y
_atom_site_fract_z
Cs1 Cs 0.0000 0.0000 0.0000
Zr1 Zr 0.5000 0.5000 0.5000
Al1 Al 0.0000 0.5000 0.5000
Al2 Al 0.5000 0.0000 0.5000
Al3 Al 0.5000 0.5000 0.0000
```

---

Record 2
Compound: CuRe2B
Source: the Alexandria database
Functional: PBE
Structure: relaxed

Magnetic moment: 0.00 Bohr magnetons per cell
Calculated volume: 14.1 Å³/atom
E_form: 1.02 eV per atom

The structure in CIF format:
```
data_CuRe2B
_space_group_name_H-M_alt 'P 1'
_space_group_IT_number 1
_cell_length_a 8.7273
_cell_length_b 8.7273
_cell_length_c 8.7273
_cell_angle_alpha 155.63
_cell_angle_beta 155.63
_cell_angle_gamma 34.73
loop_
_space_group_symop_operation_xyz
'x,y,z'
loop_
_atom_site_label
_atom_site_type_symbol
_atom_site_fract_x
_atom_site_fract_y
_atom_site_fract_z
Cu1 Cu 0.0000 0.0000 0.0000
Cu2 Cu 0.7500 0.2500 0.5000
Re1 Re 0.1688 0.6250 0.0438
Re2 Re 0.3750 0.4188 0.5438
Re3 Re 0.5812 0.1250 0.9562
Re4 Re 0.8750 0.8312 0.4562
B1 B 0.2500 0.7500 0.5000
B2 B 0.5000 0.5000 0.0000
```

---

Record 3
Compound: Sm6HoTh
Source: the Alexandria database
Functional: PBE
Structure: relaxed

Magnetic moment: 0.00 Bohr magnetons per cell
Calculated volume: 33.2 Å³/atom
E_form: 0.04 eV per atom

The structure in CIF format:
```
data_Sm6HoTh
_space_group_name_H-M_alt 'P 1'
_space_group_IT_number 1
_cell_length_a 5.1026
_cell_length_b 5.1026
_cell_length_c 10.1914
_cell_angle_alpha 90.00
_cell_angle_beta 90.00
_cell_angle_gamma 90.00
loop_
_space_group_symop_operation_xyz
'x,y,z'
loop_
_atom_site_label
_atom_site_type_symbol
_atom_site_fract_x
_atom_site_fract_y
_atom_site_fract_z
Sm1 Sm 0.0000 0.0000 0.0000
Sm2 Sm 0.0000 0.0000 0.5000
Sm3 Sm 0.0000 0.5000 0.2483
Sm4 Sm 0.0000 0.5000 0.7517
Sm5 Sm 0.5000 0.0000 0.2483
Sm6 Sm 0.5000 0.0000 0.7517
Ho1 Ho 0.5000 0.5000 0.5000
Th1 Th 0.5000 0.5000 0.0000
```